No. 1
VASP calculation (GGA-PBE) on a geometry-optimized Eu2TiO4 structure.

Lattice parameters (Å, degrees): 6.787 6.787 6.787 146.45 146.45 48.17
Each line ends with the local moment (μB).
Element x y z (fractional)
Eu 0.644 0.644 0.000  6.74
Eu 0.356 0.356 0.000  6.74
O 0.836 0.836 0.000  -0.04
O 0.000 0.500 0.500  -0.02
O 0.164 0.164 0.000  -0.04
O 0.500 0.000 0.500  -0.02
Ti 0.000 0.000 0.000  0.20

Values from the calculation:
**Formation energy (no corrections)**: -3.058 eV per atom
**SG**: I4/mmm

No. 2
VASP calculation (GGA-PBE) on a geometry-optimized DyY3Hg2 structure.

Lattice parameters (Å, degrees): 5.128 7.059 9.263 90.00 90.00 90.00
Element x y z (fractional)
Y 0.500 0.670 0.175
Y 0.000 0.830 0.674
Y 0.000 0.984 0.055
Y 0.000 0.330 0.326
Y 0.000 0.484 0.945
Y 0.500 0.170 0.825
Hg 0.500 0.736 0.851
Hg 0.500 0.236 0.149
Hg 0.000 0.264 0.650
Hg 0.000 0.764 0.350
Dy 0.500 0.516 0.556
Dy 0.500 0.016 0.444

Values from the calculation:
**SG**: Pmc2_1
**Formation energy**: -2.29 eV/f.u.

Number 1: D(E_F) 18.232 states/eV/f.u., magnetic moment 13.87 μB/f.u., mass density 7.3 Mg/m³. Number 2: D(E_F) 2.199 states/eV/f.u., magnetic moment 0.00 μB/f.u., mass density 8.2 Mg/m³.